(1)
Entry from the Alexandria database: a relaxed structure of Mn3BPd (PBE).

Cell lengths 4.798, 4.798, 4.798 Å; angles 90.00, 90.00, 90.00 degrees
Fractional coordinates of all 5 atoms:
Mn (0.000, 0.000, 0.500)
Mn (0.000, 0.500, 0.000)
Mn (0.500, 0.000, 0.000)
B (0.500, 0.500, 0.500)
Pd (0.000, 0.000, 0.000)

Output
DOS(E_F) in states/eV per cell: 3.09
Space-group type: Pm-3m (221)
Total moment in μB per formula unit: 13.00
ΔE to the lowest computed polymorph in meV/atom: 1430
ΔH_f (0 K) in kJ/mol of formula units: 810

***

(2)
Entry from the Alexandria database: a relaxed structure of CePr4Er (PBE).

Cell lengths 6.315, 10.962, 6.310 Å; angles 90.00, 109.28, 90.00 degrees
Fractional coordinates of all 12 atoms:
Ce (0.000, 0.000, 0.000)
Ce (0.500, 0.500, 0.000)
Pr (0.000, 0.163, 0.500)
Pr (0.000, 0.335, 0.000)
Pr (0.000, 0.665, 0.000)
Pr (0.000, 0.837, 0.500)
Pr (0.500, 0.165, 0.000)
Pr (0.500, 0.337, 0.500)
Pr (0.500, 0.663, 0.500)
Pr (0.500, 0.835, 0.000)
Er (0.000, 0.500, 0.500)
Er (0.500, 0.000, 0.500)

Output
DOS(E_F) in states/eV per cell: 26.12
Space-group type: C2/m (12)
Total moment in μB per formula unit: 1.13
ΔH_f (0 K) in kJ/mol of formula units: 37

***

(3)
Entry from the Alexandria database: a relaxed structure of Cd2CoTc (PBE).

Cell lengths 10.652, 2.777, 4.952 Å; angles 90.00, 114.24, 90.00 degrees
Fractional coordinates of all 8 atoms:
Cd (0.000, 0.000, 0.000)
Cd (0.219, 0.000, 0.636)
Cd (0.500, 0.500, 0.000)
Cd (0.719, 0.500, 0.636)
Co (0.253, 0.500, 0.157)
Co (0.753, 0.000, 0.157)
Tc (0.451, 0.000, 0.459)
Tc (0.951, 0.500, 0.459)

Output
DOS(E_F) in states/eV per cell: 7.41
Space-group type: Cm (8)
Total moment in μB per formula unit: 1.44
ΔE to the lowest computed polymorph in meV/atom: 231
ΔH_f (0 K) in kJ/mol of formula units: 158

***

(4)
Entry from the Alexandria database: a relaxed structure of Pm2AuC (PBE).

Cell lengths 3.355, 3.355, 7.145 Å; angles 90.00, 90.00, 90.00 degrees
Fractional coordinates of all 4 atoms:
Pm (0.000, 0.000, 0.200)
Pm (0.000, 0.000, 0.800)
Au (0.500, 0.500, 0.500)
C (0.500, 0.500, 0.000)

Output
DOS(E_F) in states/eV per cell: 2.12
Space-group type: P4/mmm (123)
Total moment in μB per formula unit: 0.00
ΔE to the lowest computed polymorph in meV/atom: 300
ΔH_f (0 K) in kJ/mol of formula units: -31